VASP calculation (GGA+U) on Li4Nb3V5O16 after structural relaxation.

Cell lengths 6.055, 6.055, 9.859 Å; angles 91.39, 91.39, 60.04 degrees
Sites, in units of the cell vectors:
1 Li 0.000 0.000 0.000
2 Li 0.000 0.000 0.498
3 Li 0.326 0.326 0.607
4 Li 0.659 0.659 0.093
5 Nb 0.163 0.639 0.280
6 Nb 0.639 0.163 0.280
7 Nb 0.822 0.822 0.779
8 V 0.163 0.163 0.282
9 V 0.321 0.321 0.000
10 V 0.332 0.821 0.780
11 V 0.650 0.650 0.509
12 V 0.821 0.332 0.780
13 O 0.030 0.477 0.147
14 O 0.150 0.664 0.891
15 O 0.155 0.155 0.891
16 O 0.321 0.814 0.395
17 O 0.328 0.328 0.408
18 O 0.474 0.474 0.147
19 O 0.477 0.030 0.147
20 O 0.509 0.509 0.661
21 O 0.513 0.950 0.653
22 O 0.664 0.150 0.891
23 O 0.665 0.665 0.892
24 O 0.814 0.321 0.395
25 O 0.824 0.824 0.389
26 O 0.950 0.513 0.653
27 O 0.986 0.986 0.183
28 O 0.987 0.987 0.680

Calculated values
energy = -216.50 eV per cell
SG = Cm
M_tot = 12.03 μB per cell